5
Lattice="3.8768 0.0000 0.0000 0.0000 3.8768 0.0000 0.0000 0.0000 6.9889" Properties=species:S:1:pos:R:3 comment="MoPdIO2 PBE+U optimized geometry" e_tot_ev_per_fu=-27.0 rho_g_cm3=5.71 sg="No. 123" pbc="T T T"
Mo 0.0000 0.0000 0.0000
Pd 1.9384 1.9384 3.4944
I 0.0000 0.0000 3.4944
O 0.0000 1.9384 0.0000
O 1.9384 0.0000 0.0000